(1)
! YHSe2, optimized geometry, DFT PBE; values from VASP
&SYSTEM
  ibrav = 0, nat = 16, ntyp = 3
/
ATOMIC_SPECIES
Y 88.91 Y.upf
Se 78.96 Se.upf
H 1.01 H.upf
CELL_PARAMETERS angstrom
19.9166 0.0000 -0.7832
0.0000 3.8324 0.0000
-7.2043 0.0000 4.7693
ATOMIC_POSITIONS angstrom
Y -4.8497 1.3574 4.3949
Y 8.7108 0.5588 1.6187
Y 4.0015 3.2736 2.3674
Y 17.5620 2.4750 -0.4089
Se 6.5837 2.3848 0.8977
Se -0.2275 0.4686 1.0953
Se 12.9398 3.3637 2.8907
Se 10.6697 2.4118 0.4636
Se 15.6030 0.4956 0.7462
Se 2.0426 1.4206 3.5225
Se -2.8907 3.3368 3.2398
Se 6.1286 1.4475 3.0884
H 3.8265 1.3467 1.1980
H 10.1827 0.5695 3.1911
H 8.8858 2.4856 2.7880
H 2.5296 3.2629 0.7950
! size of the total moment: 0.00 μB per formula unit
! electronic total energy: -5.13 eV/atom

(2)
! YHSe2, optimized geometry, DFT PBE; values from VASP
&SYSTEM
  ibrav = 0, nat = 8, ntyp = 3
/
ATOMIC_SPECIES
H 1.01 H.upf
Se 78.96 Se.upf
Y 88.91 Y.upf
CELL_PARAMETERS angstrom
4.1863 -0.0028 0.0001
0.0100 8.9934 -0.0014
0.0004 -0.0005 5.6670
ATOMIC_POSITIONS angstrom
H 3.4411 1.7192 2.6252
H 1.3516 8.6942 5.4573
Se 3.4412 2.0662 1.1801
Se 3.4430 6.1045 1.4046
Se 1.3523 8.3449 4.0125
Se 1.3487 4.3069 4.2378
Y 1.3490 4.0678 1.4137
Y 3.4437 6.3436 4.2478
! size of the total moment: 0.00 μB per formula unit
! electronic total energy: -5.38 eV/atom

(3)
! Y3H2Se2, optimized geometry, DFT PBE; values from VASP
&SYSTEM
  ibrav = 0, nat = 14, ntyp = 3
/
ATOMIC_SPECIES
Y 88.91 Y.upf
H 1.01 H.upf
Se 78.96 Se.upf
CELL_PARAMETERS angstrom
-4.8045 4.5198 1.3363
-4.7886 -3.7141 -4.6544
-3.4807 -1.2033 4.5413
ATOMIC_POSITIONS angstrom
Y 0.0000 0.0000 0.0000
Y -6.8897 -2.4006 -1.8620
Y -4.7966 0.4028 -1.6590
Y -4.8945 -1.1199 1.3358
Y -6.1842 2.0030 3.0853
Y -8.1793 0.7223 -0.1125
H -10.1573 0.5325 -1.2416
H -2.9166 -0.9301 2.4649
H -6.3364 -0.6271 -0.5309
H -6.7375 0.2295 1.7542
Se -10.4730 0.7558 1.8305
Se -4.1884 1.7385 0.8529
Se -2.6009 -1.1534 -0.6072
Se -8.8855 -2.1361 0.3704
! size of the total moment: 0.00 μB per formula unit
! electronic total energy: -5.83 eV/atom

(4)
! YHSe2, optimized geometry, DFT PBE; values from VASP
&SYSTEM
  ibrav = 0, nat = 8, ntyp = 3
/
ATOMIC_SPECIES
H 1.01 H.upf
Y 88.91 Y.upf
Se 78.96 Se.upf
CELL_PARAMETERS angstrom
-5.9989 3.3719 4.1845
-2.8066 -4.9659 5.5918
3.9237 -5.4121 4.3725
ATOMIC_POSITIONS angstrom
H -2.4811 -5.5594 7.6053
H -2.4007 -1.4466 6.5435
Y 0.5109 -2.3157 3.6670
Y -5.3927 -4.6903 10.4818
Se -1.4090 -0.5361 2.3843
Se -3.4728 -6.4699 11.7645
Se -0.7341 -5.7326 7.3456
Se -4.1477 -1.2734 6.8032
! size of the total moment: 0.00 μB per formula unit
! electronic total energy: -5.23 eV/atom

(5)
! Y2HSe, optimized geometry, DFT PBE; values from VASP
&SYSTEM
  ibrav = 0, nat = 4, ntyp = 3
/
ATOMIC_SPECIES
Y 88.91 Y.upf
H 1.01 H.upf
Se 78.96 Se.upf
CELL_PARAMETERS angstrom
3.1710 -3.4114 -1.1734
-0.4836 -4.4393 1.7689
-1.3112 -3.6065 -2.8885
ATOMIC_POSITIONS angstrom
Y 1.0322 -8.5929 -1.7198
Y 0.3441 -2.8643 -0.5733
H 0.0000 0.0000 0.0000
Se 0.6881 -5.7286 -1.1465
! size of the total moment: 0.00 μB per formula unit
! electronic total energy: -5.53 eV/atom

(6)
! YH2Se, optimized geometry, DFT PBE; values from VASP
&SYSTEM
  ibrav = 0, nat = 32, ntyp = 3
/
ATOMIC_SPECIES
Se 78.96 Se.upf
Y 88.91 Y.upf
H 1.01 H.upf
CELL_PARAMETERS angstrom
19.2182 0.0000 0.0000
0.0000 5.2928 0.0000
0.0000 0.0000 5.2804
ATOMIC_POSITIONS angstrom
Se 11.9153 2.6464 2.6402
Se 2.3062 2.6464 0.0000
Se 11.9153 0.0000 0.0000
Se 16.9120 2.6464 0.0000
Se 7.3029 2.6464 2.6402
Se 2.3062 0.0000 2.6402
Se 7.3029 0.0000 0.0000
Se 16.9120 0.0000 2.6402
Y 13.0518 0.0000 2.6402
Y 15.7755 2.6464 2.6402
Y 3.4427 0.0000 0.0000
Y 3.4427 2.6464 2.6402
Y 6.1664 0.0000 2.6402
Y 13.0518 2.6464 0.0000
Y 15.7755 0.0000 0.0000
Y 6.1664 2.6464 0.0000
H 14.4136 1.3232 3.9603
H 0.0000 2.6464 2.2628
H 0.0000 2.6464 3.0176
H 9.6091 2.6464 0.3774
H 9.6091 2.6464 4.9030
H 4.8045 1.3232 1.3201
H 14.4136 3.9696 1.3201
H 9.6091 0.0000 3.0176
H 0.0000 0.0000 0.3774
H 4.8045 3.9696 1.3201
H 4.8045 1.3232 3.9603
H 0.0000 0.0000 4.9030
H 14.4136 3.9696 3.9603
H 4.8045 3.9696 3.9603
H 14.4136 1.3232 1.3201
H 9.6091 0.0000 2.2628
! size of the total moment: 0.00 μB per formula unit
! electronic total energy: -5.16 eV/atom

(7)
! YH2Se, optimized geometry, DFT PBE; values from VASP
&SYSTEM
  ibrav = 0, nat = 4, ntyp = 3
/
ATOMIC_SPECIES
Y 88.91 Y.upf
Se 78.96 Se.upf
H 1.01 H.upf
CELL_PARAMETERS angstrom
3.9364 -0.0018 0.0174
-0.1323 3.9349 -0.0199
-1.2069 -1.2072 3.7650
ATOMIC_POSITIONS angstrom
Y 1.0010 1.6835 0.8412
Se 1.6694 2.4053 3.6549
H -0.5060 0.7645 2.3006
H 0.1166 0.1628 2.3076
! size of the total moment: 0.00 μB per formula unit
! electronic total energy: -4.85 eV/atom

(8)
! YH2Se, optimized geometry, DFT PBE; values from VASP
&SYSTEM
  ibrav = 0, nat = 8, ntyp = 3
/
ATOMIC_SPECIES
Y 88.91 Y.upf
H 1.01 H.upf
Se 78.96 Se.upf
CELL_PARAMETERS angstrom
-1.5823 3.5125 0.7881
-3.5743 -1.2398 -1.6509
-1.9750 -2.2238 5.9461
ATOMIC_POSITIONS angstrom
Y -4.1967 -0.6858 4.4410
Y -1.4220 1.0460 2.2933
H -2.8691 0.8090 0.4440
H -3.7122 -2.7874 4.9703
H -2.0694 0.3170 4.2425
H -0.9375 -1.0556 2.8227
Se -2.7370 -1.6894 2.0343
Se -1.9374 -2.1814 5.8328
! size of the total moment: 0.00 μB per formula unit
! electronic total energy: -4.89 eV/atom

(9)
! YH2Se, optimized geometry, DFT PBE; values from VASP
&SYSTEM
  ibrav = 0, nat = 4, ntyp = 3
/
ATOMIC_SPECIES
Y 88.91 Y.upf
H 1.01 H.upf
Se 78.96 Se.upf
CELL_PARAMETERS angstrom
0.3687 -3.0522 2.8900
-3.2796 -2.5190 0.8384
0.0846 -4.0440 -1.2014
ATOMIC_POSITIONS angstrom
Y -1.4132 -4.8076 1.2635
H -0.7066 -2.4038 0.6318
H -2.1198 -7.2113 1.8953
Se 0.0000 0.0000 0.0000
! size of the total moment: 0.00 μB per formula unit
! electronic total energy: -4.55 eV/atom

(10)
! YH2Se, optimized geometry, DFT PBE; values from VASP
&SYSTEM
  ibrav = 0, nat = 8, ntyp = 3
/
ATOMIC_SPECIES
H 1.01 H.upf
Y 88.91 Y.upf
Se 78.96 Se.upf
CELL_PARAMETERS angstrom
3.7914 0.0000 0.0006
-1.8826 5.1796 -0.0124
-0.0566 -2.0627 6.0969
ATOMIC_POSITIONS angstrom
H -0.7031 1.6951 3.2905
H 2.5552 1.4218 2.7947
H 0.9387 4.0900 2.4570
H 0.9134 -0.9730 3.6281
Y -0.9499 3.5957 1.4561
Y 2.8020 -0.4787 4.6291
Se 0.8906 1.8534 5.2277
Se 0.9615 1.2636 0.8575
! size of the total moment: 0.00 μB per formula unit
! electronic total energy: -5.07 eV/atom

(11)
! YHSe2, optimized geometry, DFT PBE; values from VASP
&SYSTEM
  ibrav = 0, nat = 4, ntyp = 3
/
ATOMIC_SPECIES
H 1.01 H.upf
Se 78.96 Se.upf
Y 88.91 Y.upf
CELL_PARAMETERS angstrom
1.9483 0.0000 8.3811
-0.9742 1.6873 8.3811
-0.9742 -1.6873 8.3811
ATOMIC_POSITIONS angstrom
H 0.0000 0.0000 12.5717
Se 0.0000 0.0000 22.3667
Se 0.0000 0.0000 2.7767
Y 0.0000 0.0000 0.0000
! size of the total moment: 0.00 μB per formula unit
! electronic total energy: -3.75 eV/atom

(12)
! YHSe2, optimized geometry, DFT PBE; values from VASP
&SYSTEM
  ibrav = 0, nat = 4, ntyp = 3
/
ATOMIC_SPECIES
Y 88.91 Y.upf
H 1.01 H.upf
Se 78.96 Se.upf
CELL_PARAMETERS angstrom
2.8550 0.0000 4.3213
-1.4275 2.4725 4.3213
-1.4275 -2.4725 4.3213
ATOMIC_POSITIONS angstrom
Y 0.0000 0.0000 5.6470
H 0.0000 0.0000 0.3045
Se 0.0000 0.0000 8.4643
Se 0.0000 0.0000 1.8021
! size of the total moment: 0.00 μB per formula unit
! electronic total energy: -5.14 eV/atom

(13)
! YHSe2, optimized geometry, DFT PBE; values from VASP
&SYSTEM
  ibrav = 0, nat = 8, ntyp = 3
/
ATOMIC_SPECIES
Y 88.91 Y.upf
Se 78.96 Se.upf
H 1.01 H.upf
CELL_PARAMETERS angstrom
-0.2966 -3.5901 2.2354
-5.2416 -2.5198 -4.7422
6.4663 -1.9932 -2.3433
ATOMIC_POSITIONS angstrom
Y -0.9677 -3.8226 -4.2575
Y 1.8958 -4.2805 -0.5926
Se 3.8700 -2.7480 -1.8898
Se -0.0256 -2.3907 -1.8327
Se 0.9537 -5.7124 -3.0173
Se -2.9419 -5.3551 -2.9603
H -1.0437 -1.7327 -0.9111
H 1.9718 -6.3703 -3.9389
! size of the total moment: 0.00 μB per formula unit
! electronic total energy: -5.34 eV/atom

(14)
! Y2HSe, optimized geometry, DFT PBE; values from VASP
&SYSTEM
  ibrav = 0, nat = 4, ntyp = 3
/
ATOMIC_SPECIES
Y 88.91 Y.upf
H 1.01 H.upf
Se 78.96 Se.upf
CELL_PARAMETERS angstrom
-2.5709 1.4287 -2.3504
-3.3659 -1.6527 -0.3384
-4.5905 4.1354 4.5194
ATOMIC_POSITIONS angstrom
Y -2.5194 0.7967 0.2246
Y -3.7917 2.8478 2.8630
H -5.6469 2.5735 1.7100
Se -8.4234 3.7847 2.4678
! size of the total moment: 0.75 μB per formula unit
! electronic total energy: -5.83 eV/atom

(15)
! YHSe2, optimized geometry, DFT PBE; values from VASP
&SYSTEM
  ibrav = 0, nat = 32, ntyp = 3
/
ATOMIC_SPECIES
H 1.01 H.upf
Y 88.91 Y.upf
Se 78.96 Se.upf
CELL_PARAMETERS angstrom
15.2462 0.0000 0.7093
2.1481 7.2750 -3.5412
-2.1481 7.2750 3.5412
ATOMIC_POSITIONS angstrom
H 13.6250 6.8866 -1.2423
H 11.3924 6.8866 -1.2350
H 10.9336 3.4073 -0.5855
H 3.8538 7.6635 1.9442
H 3.3105 3.8677 -0.9402
H 4.3126 11.1428 1.2948
H 1.6212 7.6635 1.9516
H 11.9357 10.6823 1.6495
Y 10.0867 12.0674 -0.7246
Y 12.7826 4.7924 1.7885
Y 8.7580 8.5173 1.2977
Y 3.2830 6.0327 -2.5982
Y 5.1595 2.4826 1.4339
Y 11.9632 8.5173 3.3074
Y 6.4882 6.0327 -0.5884
Y 2.4636 9.7577 -1.0792
Se 8.7558 7.4921 -1.3060
Se 15.1492 3.6847 0.7147
Se 7.5261 3.5904 0.3601
Se 11.3560 2.4472 0.4898
Se 2.7375 8.6646 1.9479
Se 4.8856 8.2579 -1.5933
Se 7.7201 10.9597 0.3492
Se 6.4904 7.0579 2.0152
Se 3.7329 4.8278 0.1351
Se 3.8902 12.1028 0.2195
Se 10.3606 6.2922 2.3026
Se -1.0155 7.0579 1.8806
Se 0.0970 10.8654 -0.0054
Se 16.2617 7.4921 -1.1713
Se 11.5133 9.7223 0.5742
Se 12.5087 5.8854 -1.2386
! size of the total moment: 0.00 μB per formula unit
! electronic total energy: -5.31 eV/atom

(16)
! YH2Se, optimized geometry, DFT PBE; values from VASP
&SYSTEM
  ibrav = 0, nat = 8, ntyp = 3
/
ATOMIC_SPECIES
Se 78.96 Se.upf
Y 88.91 Y.upf
H 1.01 H.upf
CELL_PARAMETERS angstrom
-0.9576 -3.0902 2.2722
3.8815 -0.8715 0.4506
0.7350 5.9112 5.1012
ATOMIC_POSITIONS angstrom
Se 2.3034 3.7638 5.2237
Se 0.2474 2.3653 2.4436
Y 1.1509 -2.4916 3.0527
Y 1.7494 1.0044 4.6594
H -0.7583 -2.2464 2.1877
H -0.0452 2.5277 5.2780
H 1.6693 -0.3182 2.7915
H -0.2364 1.9177 5.7455
! size of the total moment: 0.00 μB per formula unit
! electronic total energy: -5.05 eV/atom

(17)
! YHSe2, optimized geometry, DFT PBE; values from VASP
&SYSTEM
  ibrav = 0, nat = 4, ntyp = 3
/
ATOMIC_SPECIES
Se 78.96 Se.upf
Y 88.91 Y.upf
H 1.01 H.upf
CELL_PARAMETERS angstrom
3.5171 -2.0306 0.0000
0.0000 4.0612 0.0000
0.0000 0.0000 7.6254
ATOMIC_POSITIONS angstrom
Se 1.1724 2.0306 6.4069
Se 2.3447 0.0000 2.3630
Y 1.1724 2.0306 3.7261
H 0.0000 0.0000 6.2243
! size of the total moment: 0.00 μB per formula unit
! electronic total energy: -4.74 eV/atom

(18)
! YHSe2, optimized geometry, DFT PBE; values from VASP
&SYSTEM
  ibrav = 0, nat = 4, ntyp = 3
/
ATOMIC_SPECIES
Se 78.96 Se.upf
H 1.01 H.upf
Y 88.91 Y.upf
CELL_PARAMETERS angstrom
-3.9755 -0.1838 -5.9059
2.3566 -3.5366 0.0243
-3.5096 0.2245 2.3841
ATOMIC_POSITIONS angstrom
Se 0.0008 -3.0668 -1.2238
Se -2.0268 -1.8771 -4.3174
H -2.8493 -2.4529 -5.4999
Y -2.7186 -2.3261 -1.5088
! size of the total moment: 0.00 μB per formula unit
! electronic total energy: -5.33 eV/atom

(19)
! Y4HSe5, optimized geometry, DFT PBE; values from VASP
&SYSTEM
  ibrav = 0, nat = 10, ntyp = 3
/
ATOMIC_SPECIES
Se 78.96 Se.upf
Y 88.91 Y.upf
H 1.01 H.upf
CELL_PARAMETERS angstrom
-0.8096 0.1238 -4.0325
-10.2491 -2.7611 1.9730
0.9230 7.4414 2.1426
ATOMIC_POSITIONS angstrom
Se -2.5145 1.7809 0.5595
Se -7.6212 3.0233 -0.4764
Se -8.9475 -0.2090 1.7900
Se -1.1882 5.0132 -1.7069
Se -5.5294 -1.3186 -1.0297
Y -9.0912 2.7122 1.9086
Y -1.0445 2.0920 -1.8255
Y -6.8012 5.5941 -0.5621
Y -3.3344 -0.7899 0.6452
H -0.4048 0.0619 -2.0162
! size of the total moment: 0.00 μB per formula unit
! electronic total energy: -6.16 eV/atom

(20)
! YHSe2, optimized geometry, DFT PBE; values from VASP
&SYSTEM
  ibrav = 0, nat = 16, ntyp = 3
/
ATOMIC_SPECIES
Se 78.96 Se.upf
H 1.01 H.upf
Y 88.91 Y.upf
CELL_PARAMETERS angstrom
-6.4872 -1.2769 -2.8660
1.4943 -3.1015 -2.0007
-2.7259 -7.4287 9.4799
ATOMIC_POSITIONS angstrom
Se -0.0785 -4.4124 0.8379
Se -5.5772 -5.1816 1.8857
Se -1.1376 -1.2839 -0.8405
Se -7.6404 -7.3946 3.7753
Se -2.1416 -6.6254 2.7275
Se -6.5812 -10.5231 5.4537
Se -4.4974 -7.0304 5.5582
Se -3.2215 -4.7766 -0.9450
H -1.7395 -5.5840 5.3758
H -2.1215 -3.9109 -1.4655
H -5.5973 -7.8961 6.0787
H -5.9793 -6.2231 -0.7626
Y -5.5448 -2.7798 -1.8134
Y -2.1740 -9.0272 6.4266
Y -3.0000 -4.0459 2.0500
Y -4.7188 -7.7611 2.5632
! size of the total moment: 0.00 μB per formula unit
! electronic total energy: -5.32 eV/atom